Entry from Alexandria: a relaxed structure of Rb2FeCF6 (PBE+U).

```
Rb2FeCF6
1.0
-2.814 0.217 5.139
-0.594 -5.833 -0.079
1.919 -3.204 4.531
Rb F C Fe
2 6 1 1
direct
0.750 0.250 0.500
0.250 0.750 0.500
0.738 0.738 0.000
0.262 0.262 0.000
0.262 0.738 0.000
0.738 0.262 0.000
0.244 0.244 0.513
0.756 0.756 0.487
0.500 0.500 0.000
0.000 0.000 0.000
```

The symmetry is I4/mmm. For the total magnetic moment, the calculation gives 4.000 μB/cell. Its energy is -45.0 eV/f.u.